Record 1
Computed, not measured: a relaxed TaFeTc2 crystal at the PBE level of DFT.

Cell lengths 4.802, 4.802, 4.802 Å; angles 132.78, 132.78, 69.00 degrees
Element x y z (fractional)
1 Tc 0.000 0.000 0.000
2 Fe 0.250 0.750 0.500
3 Tc 0.500 0.500 0.000
4 Ta 0.750 0.250 0.500


Record 2
Computed, not measured: a relaxed Ta2FeTc crystal at the PBE level of DFT.

Cell lengths 5.705, 5.705, 5.705 Å; angles 57.08, 150.26, 132.46 degrees
Element x y z (fractional)
1 Fe 0.000 0.000 0.000
2 Ta 0.000 0.246 0.246
3 Tc 0.000 0.500 0.500
4 Ta 0.000 0.754 0.754


Record 3
Computed, not measured: a relaxed Ta2FeTc crystal at the PBE level of DFT.

Cell lengths 4.297, 2.772, 5.332 Å; angles 80.60, 90.00, 90.00 degrees
Element x y z (fractional)
1 Fe 0.500 0.750 0.750
2 Ta 0.000 0.498 0.501
3 Ta 0.000 0.002 0.999
4 Tc 0.500 0.250 0.250


Record 4
Computed, not measured: a relaxed Ta2FeTc crystal at the PBE level of DFT.

Cell lengths 5.202, 5.202, 5.202 Å; angles 137.76, 137.76, 61.28 degrees
Element x y z (fractional)
1 Ta 0.000 0.000 0.000
2 Fe 0.750 0.250 0.500
3 Ta 0.250 0.750 0.500
4 Tc 0.500 0.500 0.000


Record 5
Computed, not measured: a relaxed TaFeTc2 crystal at the PBE level of DFT.

Cell lengths 3.166, 4.311, 4.320 Å; angles 90.00, 90.00, 90.00 degrees
Element x y z (fractional)
1 Tc 0.000 0.000 0.000
2 Tc 0.500 0.500 0.000
3 Fe 0.500 0.000 0.500
4 Ta 0.000 0.500 0.500


Record 6
Computed, not measured: a relaxed TaFeTc4 crystal at the PBE level of DFT.

Cell lengths 5.103, 5.103, 5.103 Å; angles 60.00, 60.00, 60.00 degrees
Element x y z (fractional)
1 Tc 0.376 0.376 0.376
2 Tc 0.873 0.376 0.376
3 Ta 0.000 0.000 0.000
4 Tc 0.376 0.873 0.376
5 Tc 0.376 0.376 0.873
6 Fe 0.750 0.750 0.750


Number 1: calculated formation energy 0.4 eV per formula unit. Number 2: calculated formation energy 2.9 eV per formula unit. Number 3: calculated formation energy -0.2 eV per formula unit. Number 4: calculated formation energy 0.1 eV per formula unit. Number 5: calculated formation energy -0.2 eV per formula unit. Number 6: calculated formation energy 1.0 eV per formula unit.